RbBa3Ir (PBEsol, relaxed); calculated formation energy = 0.14 eV/f.u.; magnetization = 0.0 μB per formula unit; uncorrected energy = -3.43 eV per atom; crystal system = cubic
1.0
-4.8604 1.7901 -3.4547
-3.8808 -1.8317 4.5108
0.2806 5.6748 2.5458
Ba Rb Ir
3 1 1
Cartesian
-1.9404 -0.9159 2.2554
0.1403 2.8374 1.2729
-2.4302 0.8951 -1.7273
-4.2303 2.8166 1.8010
0.0000 0.0000 0.0000